Record 1
BaNdTm: optimized geometry, GGA-PBE.

a = 8.631 Å, b = 8.631 Å, c = 8.631 Å
α = 154.46°, β = 154.46°, γ = 36.42°
Fractional positions:
Ba: 0.000 0.000 0.000
Nd: 0.316 0.316 0.000
Tm: 0.680 0.680 0.000

As for the space-group type: I4mm, No. 107. The calculation puts the formation energy at 0.173 eV per atom. As for the magnetization: 0.0 μB per formula unit. The energy above the most stable polymorph in this dataset comes out at 0 meV/atom.

---

Record 2
BaNd2Y: optimized geometry, GGA-PBE.

a = 12.743 Å, b = 12.743 Å, c = 12.743 Å
α = 17.00°, β = 17.00°, γ = 17.00°
Fractional positions:
Ba: 0.000 0.000 0.000
Nd: 0.575 0.575 0.575
Nd: 0.757 0.757 0.757
Y: 0.166 0.166 0.166

As for the space-group type: R3m, No. 160. The calculation puts the formation energy at 0.124 eV per atom. As for the magnetization: 0.0 μB per formula unit. The energy above the most stable polymorph in this dataset comes out at 10 meV/atom.

---

Record 3
BaNd2Y: optimized geometry, GGA-PBE.

a = 3.778 Å, b = 3.778 Å, c = 10.935 Å
α = 90.00°, β = 90.00°, γ = 90.00°
Fractional positions:
Ba: 0.000 0.000 0.000
Nd: 0.500 0.500 0.281
Nd: 0.500 0.500 0.719
Y: 0.000 0.000 0.500

As for the space-group type: P4/mmm, No. 123. The calculation puts the formation energy at 0.115 eV per atom. As for the magnetization: 0.0 μB per formula unit. The energy above the most stable polymorph in this dataset comes out at 0 meV/atom.

---

Record 4
BaNd2Y: optimized geometry, GGA-PBE.

a = 13.329 Å, b = 13.329 Å, c = 13.329 Å
α = 15.93°, β = 15.93°, γ = 15.93°
Fractional positions:
Ba: 0.000 0.000 0.000
Nd: 0.094 0.094 0.094
Nd: 0.906 0.906 0.906
Y: 0.500 0.500 0.500

As for the space-group type: R-3m, No. 166. The calculation puts the formation energy at 0.192 eV per atom. As for the magnetization: 0.0 μB per formula unit. The energy above the most stable polymorph in this dataset comes out at 78 meV/atom.

---

- Which value of formation energy does entry 3 give?
  0.115 eV per atom